[1]
Here is a relaxed structure of NbSi4Mo2 from the Alexandria database. Energies are from GGA-PBE.

**E**: -6.953 eV per atom
**Spin magnetization**: 0.0 μB per cell
**DOS(E_F)**: 0.580 states/eV per atom
**Energy relative to the elements, uncorrected**: 15.66 kcal/mol of atoms

The structure in CIF format:
```
data_NbSi4Mo2
_space_group_name_H-M_alt 'I 4/m m m'
_space_group_IT_number 139
_space_group_name_Hall '-I 4 2'
_cell_length_a 4.6758
_cell_length_b 4.6758
_cell_length_c 12.5308
_cell_angle_alpha 90.00
_cell_angle_beta 90.00
_cell_angle_gamma 90.00
loop_
_atom_site_label
_atom_site_type_symbol
_atom_site_fract_x
_atom_site_fract_y
_atom_site_fract_z
_atom_site_occupancy
Nb1 Nb 0.0000 0.0000 0.0000 1
Si1 Si 0.0000 0.0000 0.2014 1
Si2 Si 0.0000 0.5000 0.0000 1
Mo1 Mo 0.0000 0.0000 0.4024 1
```

***

[2]
Here is a relaxed structure of NbSi3Mo from the Alexandria database. Energies are from GGA-PBE.

**E**: -6.456 eV per atom
**Spin magnetization**: 2.7 μB per cell
**Energy relative to the lowest polymorph listed for this composition**: 0 meV/atom
**DOS(E_F)**: 1.872 states/eV per atom
**Energy relative to the elements, uncorrected**: 22.56 kcal/mol of atoms

The structure in CIF format:
```
data_NbSi3Mo
_space_group_name_H-M_alt 'P m -3 m'
_space_group_IT_number 221
_space_group_name_Hall '-P 4 2 3'
_cell_length_a 4.6465
_cell_length_b 4.6465
_cell_length_c 4.6465
_cell_angle_alpha 90.00
_cell_angle_beta 90.00
_cell_angle_gamma 90.00
loop_
_atom_site_label
_atom_site_type_symbol
_atom_site_fract_x
_atom_site_fract_y
_atom_site_fract_z
_atom_site_occupancy
Nb1 Nb 0.0000 0.0000 0.0000 1
Si1 Si 0.0000 0.5000 0.5000 1
Mo1 Mo 0.5000 0.5000 0.5000 1
```

***

[3]
Here is a relaxed structure of ThNbSi2Mo from the Alexandria database. Energies are from GGA-PBE.

**E**: -8.420 eV per atom
**Spin magnetization**: 0.0 μB per cell
**DOS(E_F)**: 0.705 states/eV per atom
**Energy relative to the elements, uncorrected**: -13.53 kcal/mol of atoms

The structure in CIF format:
```
data_ThNbSi2Mo
_space_group_name_H-M_alt 'I -4 m 2'
_space_group_IT_number 119
_space_group_name_Hall 'I -4 -2'
_cell_length_a 4.0766
_cell_length_b 4.0766
_cell_length_c 11.4579
_cell_angle_alpha 90.00
_cell_angle_beta 90.00
_cell_angle_gamma 90.00
loop_
_atom_site_label
_atom_site_type_symbol
_atom_site_fract_x
_atom_site_fract_y
_atom_site_fract_z
_atom_site_occupancy
Th1 Th 0.0000 0.0000 0.0000 1
Nb1 Nb 0.0000 0.5000 0.7500 1
Si1 Si 0.0000 0.0000 0.3930 1
Mo1 Mo 0.0000 0.5000 0.2500 1
```

***

[4]
Here is a relaxed structure of NbVSi2Mo from the Alexandria database. Energies are from GGA-PBE.

**E**: -7.245 eV per atom
**Spin magnetization**: 0.0 μB per cell
**DOS(E_F)**: 0.882 states/eV per atom
**Energy relative to the elements, uncorrected**: 21.40 kcal/mol of atoms

The structure in CIF format:
```
data_NbVSi2Mo
_space_group_name_H-M_alt 'P 4/m m m'
_space_group_IT_number 123
_space_group_name_Hall '-P 4 2'
_cell_length_a 4.4187
_cell_length_b 4.4187
_cell_length_c 4.4914
_cell_angle_alpha 90.00
_cell_angle_beta 90.00
_cell_angle_gamma 90.00
loop_
_atom_site_label
_atom_site_type_symbol
_atom_site_fract_x
_atom_site_fract_y
_atom_site_fract_z
_atom_site_occupancy
Nb1 Nb 0.0000 0.0000 0.0000 1
V1 V 0.5000 0.5000 0.5000 1
Si1 Si 0.0000 0.5000 0.5000 1
Mo1 Mo 0.5000 0.5000 0.0000 1
```

***

[5]
Here is a relaxed structure of Y2NbSiMo from the Alexandria database. Energies are from GGA-PBE.

**E**: -7.096 eV per atom
**Spin magnetization**: 2.2 μB per cell
**DOS(E_F)**: 1.541 states/eV per atom
**Energy relative to the elements, uncorrected**: 17.40 kcal/mol of atoms

The structure in CIF format:
```
data_Y2NbSiMo
_space_group_name_H-M_alt 'P 4/m m m'
_space_group_IT_number 123
_space_group_name_Hall '-P 4 2'
_cell_length_a 5.2905
_cell_length_b 5.2905
_cell_length_c 4.7179
_cell_angle_alpha 90.00
_cell_angle_beta 90.00
_cell_angle_gamma 90.00
loop_
_atom_site_label
_atom_site_type_symbol
_atom_site_fract_x
_atom_site_fract_y
_atom_site_fract_z
_atom_site_occupancy
Y1 Y 0.0000 0.5000 0.0000 1
Nb1 Nb 0.0000 0.0000 0.5000 1
Si1 Si 0.0000 0.0000 0.0000 1
Mo1 Mo 0.5000 0.5000 0.5000 1
```

***

[6]
Here is a relaxed structure of Nb2SnMo from the Alexandria database. Energies are from GGA-PBE.

**Formation energy from the elements**: 0.157 eV per atom
**E**: -8.586 eV per atom
**Spin magnetization**: 0.0 μB per cell
**DOS(E_F)**: 0.884 states/eV per atom

The structure in CIF format:
```
data_Nb2SnMo
_space_group_name_H-M_alt 'R -3 m'
_space_group_IT_number 166
_space_group_name_Hall '-R 3 2"'
_cell_length_a 3.1777
_cell_length_b 3.1777
_cell_length_c 26.3425
_cell_angle_alpha 90.00
_cell_angle_beta 90.00
_cell_angle_gamma 120.00
loop_
_atom_site_label
_atom_site_type_symbol
_atom_site_fract_x
_atom_site_fract_y
_atom_site_fract_z
_atom_site_occupancy
Nb1 Nb 0.0000 0.0000 0.2416 1
Sn1 Sn 0.0000 0.0000 0.0000 1
Mo1 Mo 0.0000 0.0000 0.5000 1
```

***

[7]
Here is a relaxed structure of NbSnMo2 from the Alexandria database. Energies are from GGA-PBE.

**Formation energy from the elements**: 0.817 eV per atom
**E**: -8.116 eV per atom
**Spin magnetization**: 0.0 μB per cell
**DOS(E_F)**: 1.508 states/eV per atom

The structure in CIF format:
```
data_NbSnMo2
_space_group_name_H-M_alt 'I -4 2 d'
_space_group_IT_number 122
_space_group_name_Hall 'I -4 2bw'
_cell_length_a 7.4386
_cell_length_b 7.4386
_cell_length_c 5.6174
_cell_angle_alpha 90.00
_cell_angle_beta 90.00
_cell_angle_gamma 90.00
loop_
_atom_site_label
_atom_site_type_symbol
_atom_site_fract_x
_atom_site_fract_y
_atom_site_fract_z
_atom_site_occupancy
Nb1 Nb 0.0000 0.0000 0.0000 1
Sn1 Sn 0.0000 0.0000 0.5000 1
Mo1 Mo 0.2234 0.2500 0.1250 1
```

***

[8]
Here is a relaxed structure of Nb6SnMo from the Alexandria database. Energies are from GGA-PBE.

**Formation energy from the elements**: -0.109 eV per atom
**E**: -9.515 eV per atom
**Spin magnetization**: 0.0 μB per cell
**Energy relative to the lowest polymorph listed for this composition**: 8 meV/atom
**DOS(E_F)**: 0.787 states/eV per atom

The structure in CIF format:
```
data_Nb6SnMo
_space_group_name_H-M_alt 'C m m m'
_space_group_IT_number 65
_space_group_name_Hall '-C 2 2'
_cell_length_a 6.8139
_cell_length_b 9.3015
_cell_length_c 4.6066
_cell_angle_alpha 90.00
_cell_angle_beta 90.00
_cell_angle_gamma 90.00
loop_
_atom_site_label
_atom_site_type_symbol
_atom_site_fract_x
_atom_site_fract_y
_atom_site_fract_z
_atom_site_occupancy
Nb1 Nb 0.0000 0.2391 0.0000 1
Nb2 Nb 0.2223 0.5000 0.0000 1
Nb3 Nb 0.2500 0.2500 0.5000 1
Sn1 Sn 0.0000 0.0000 0.5000 1
Mo1 Mo 0.0000 0.5000 0.5000 1
```

***

[9]
Here is a relaxed structure of Nb2Sn2Mo from the Alexandria database. Energies are from GGA-PBE.

**Formation energy from the elements**: 0.225 eV per atom
**E**: -7.570 eV per atom
**Spin magnetization**: 0.0 μB per cell
**Energy relative to the lowest polymorph listed for this composition**: 0 meV/atom
**DOS(E_F)**: 0.823 states/eV per atom

The structure in CIF format:
```
data_Nb2Sn2Mo
_space_group_name_H-M_alt 'P 4/m b m'
_space_group_IT_number 127
_space_group_name_Hall '-P 4 2ab'
_cell_length_a 7.2096
_cell_length_b 7.2096
_cell_length_c 3.7751
_cell_angle_alpha 90.00
_cell_angle_beta 90.00
_cell_angle_gamma 90.00
loop_
_atom_site_label
_atom_site_type_symbol
_atom_site_fract_x
_atom_site_fract_y
_atom_site_fract_z
_atom_site_occupancy
Nb1 Nb 0.1597 0.3403 0.0000 1
Sn1 Sn 0.1427 0.6427 0.5000 1
Mo1 Mo 0.0000 0.0000 0.5000 1
```

***

[10]
Here is a relaxed structure of Nb2SnMo from the Alexandria database. Energies are from GGA-PBE.

**Formation energy from the elements**: -0.030 eV per atom
**E**: -8.773 eV per atom
**Spin magnetization**: 0.0 μB per cell
**DOS(E_F)**: 0.513 states/eV per atom

The structure in CIF format:
```
data_Nb2SnMo
_space_group_name_H-M_alt 'P 4/m m m'
_space_group_IT_number 123
_space_group_name_Hall '-P 4 2'
_cell_length_a 4.1699
_cell_length_b 4.1699
_cell_length_c 4.1859
_cell_angle_alpha 90.00
_cell_angle_beta 90.00
_cell_angle_gamma 90.00
loop_
_atom_site_label
_atom_site_type_symbol
_atom_site_fract_x
_atom_site_fract_y
_atom_site_fract_z
_atom_site_occupancy
Nb1 Nb 0.0000 0.5000 0.0000 1
Sn1 Sn 0.0000 0.0000 0.5000 1
Mo1 Mo 0.5000 0.5000 0.5000 1
```